A:
An optimized crystal structure of Na2US4. Source: Alexandria via LeMat-Bulk, functional PBE.

Cell: 7.216 7.216 7.216 Å, 110.92 110.92 106.62°
Fractional positions:
Na 0.375 0.025 0.150
Na 0.775 0.625 0.650
Na 0.875 0.225 0.850
Na 0.975 0.125 0.350
U 0.250 0.750 0.500
U 0.500 0.500 0.000
S 0.154 0.515 0.747
S 0.157 0.018 0.753
S 0.265 0.404 0.247
S 0.485 0.232 0.639
S 0.593 0.846 0.361
S 0.596 0.843 0.861
S 0.768 0.407 0.253
S 0.982 0.735 0.139

crystal system = tetragonal
space-group type = I-42d, No. 122

B:
An optimized crystal structure of Na2US4. Source: Alexandria via LeMat-Bulk, functional PBE.

Cell: 8.105 11.673 4.050 Å, 90.00 90.00 90.00°
Fractional positions:
Na 0.244 0.247 0.000
Na 0.256 0.747 0.000
Na 0.744 0.253 0.000
Na 0.756 0.753 0.000
U 0.000 0.500 0.500
U 0.500 0.000 0.500
S 0.005 0.712 0.500
S 0.205 0.498 0.000
S 0.295 0.998 0.000
S 0.495 0.212 0.500
S 0.505 0.788 0.500
S 0.705 0.002 0.000
S 0.795 0.502 0.000
S 0.995 0.288 0.500

crystal system = orthorhombic
space-group type = Pbam, No. 55

Stability comparison, relative energies in meV/atom: A 106; B 0

A:
An optimized crystal structure of NaUS3. Source: Alexandria via LeMat-Bulk, functional PBE.

Cell: 7.283 4.024 9.699 Å, 90.00 102.16 90.00°
Fractional positions:
Na 0.206 0.250 0.436
Na 0.794 0.750 0.564
U 0.364 0.250 0.823
U 0.636 0.750 0.177
S 0.040 0.250 0.690
S 0.302 0.750 0.993
S 0.452 0.750 0.672
S 0.548 0.250 0.328
S 0.698 0.250 0.007
S 0.960 0.750 0.310

crystal system = monoclinic
space-group type = P2_1/m, No. 11

B:
An optimized crystal structure of NaUS3. Source: Alexandria via LeMat-Bulk, functional PBE.

Cell: 5.164 5.164 5.164 Å, 90.00 90.00 90.00°
Fractional positions:
Na 0.000 0.000 0.000
U 0.500 0.500 0.500
S 0.000 0.500 0.500
S 0.500 0.000 0.500
S 0.500 0.500 0.000

crystal system = cubic
space-group type = Pm-3m, No. 221

Stability comparison, relative energies in meV/atom: A 0; B 50

A:
An optimized crystal structure of Na2U2S5. Source: Alexandria via LeMat-Bulk, functional PBE.

Cell: 7.994 7.994 7.495 Å, 90.00 90.00 55.68°
Fractional positions:
Na 0.204 0.204 0.000
Na 0.296 0.296 0.500
Na 0.704 0.704 0.500
Na 0.796 0.796 0.000
U 0.160 0.840 0.660
U 0.340 0.660 0.160
U 0.660 0.340 0.840
U 0.840 0.160 0.340
S 0.000 0.000 0.000
S 0.024 0.729 0.353
S 0.229 0.524 0.853
S 0.271 0.976 0.353
S 0.476 0.771 0.853
S 0.500 0.500 0.500
S 0.524 0.229 0.147
S 0.729 0.024 0.647
S 0.771 0.476 0.147
S 0.976 0.271 0.647

crystal system = orthorhombic
space-group type = Cmce, No. 64

B:
An optimized crystal structure of Na2U2S5. Source: Alexandria via LeMat-Bulk, functional PBE.

Cell: 8.706 8.706 5.420 Å, 90.00 90.00 143.26°
Fractional positions:
Na 0.159 0.841 0.000
Na 0.841 0.159 0.000
U 0.344 0.656 0.500
U 0.656 0.344 0.500
S 0.176 0.824 0.500
S 0.341 0.659 0.000
S 0.500 0.500 0.500
S 0.659 0.341 0.000
S 0.824 0.176 0.500

crystal system = orthorhombic
space-group type = Cmmm, No. 65

Stability comparison, relative energies in meV/atom: A 0; B 98